# 1
A plane-wave DFT calculation with PBE was carried out for a geometry-optimized YCuNi3 structure.

Lattice parameters (Å, degrees): 6.082 6.082 6.082 133.02 110.41 88.22
Atoms (fractional coordinates):
1 Y 0.251 0.001 0.250
2 Y 0.749 0.999 0.750
3 Cu 0.000 0.500 0.500
4 Cu 0.500 0.500 0.000
5 Ni 0.056 0.306 0.750
6 Ni 0.297 0.000 0.797
7 Ni 0.297 0.500 0.297
8 Ni 0.703 0.000 0.203
9 Ni 0.703 0.500 0.703
10 Ni 0.944 0.694 0.250

Values from the calculation:
Offset from the most stable computed form, meV per atom: 0
Space group: Imma (74)
Raw total energy, eV per atom: -5.777
Energy of formation from the pure elements, meV per atom: -196
Size of the total moment, μB per atom: 0.000


# 2
A plane-wave DFT calculation with PBE was carried out for a geometry-optimized AcY2Pt9 structure.

Lattice parameters (Å, degrees): 9.405 9.405 9.405 33.93 33.93 33.93
Atoms (fractional coordinates):
1 Ac 0.000 0.000 0.000
2 Y 0.141 0.141 0.141
3 Y 0.859 0.859 0.859
4 Pt 0.081 0.589 0.589
5 Pt 0.333 0.333 0.333
6 Pt 0.411 0.411 0.919
7 Pt 0.411 0.919 0.411
8 Pt 0.500 0.500 0.500
9 Pt 0.589 0.081 0.589
10 Pt 0.589 0.589 0.081
11 Pt 0.667 0.667 0.667
12 Pt 0.919 0.411 0.411

Values from the calculation:
Space group: R-3m (166)
Raw total energy, eV per atom: -6.917
Energy of formation from the pure elements, meV per atom: -966
Size of the total moment, μB per atom: 0.000


# 3
A plane-wave DFT calculation with PBE was carried out for a geometry-optimized LiMgZr2 structure.

Lattice parameters (Å, degrees): 6.216 6.216 6.216 101.13 101.13 127.89
Atoms (fractional coordinates):
1 Li 0.000 0.000 0.000
2 Li 0.750 0.250 0.500
3 Mg 0.250 0.750 0.500
4 Mg 0.500 0.500 0.000
5 Zr 0.107 0.625 0.982
6 Zr 0.375 0.357 0.482
7 Zr 0.643 0.125 0.018
8 Zr 0.875 0.893 0.518

Values from the calculation:
Space group: I-42d (122)
Raw total energy, eV per atom: -4.730
Energy of formation from the pure elements, meV per atom: 421
Size of the total moment, μB per atom: 0.000


# 4
A plane-wave DFT calculation with PBE was carried out for a geometry-optimized La2Tb7Pm structure.

Lattice parameters (Å, degrees): 14.966 14.966 3.514 90.00 90.00 154.40
Atoms (fractional coordinates):
1 La 0.205 0.795 0.000
2 La 0.795 0.205 0.000
3 Tb 0.000 0.000 0.000
4 Tb 0.156 0.352 0.000
5 Tb 0.315 0.685 0.500
6 Tb 0.352 0.156 0.000
7 Tb 0.648 0.844 0.000
8 Tb 0.685 0.315 0.500
9 Tb 0.844 0.648 0.000
10 Pm 0.500 0.500 0.500

Values from the calculation:
Offset from the most stable computed form, meV per atom: 137
Space group: Cmmm (65)
Raw total energy, eV per atom: -4.543
Energy of formation from the pure elements, meV per atom: 159
Size of the total moment, μB per atom: 0.000


# 5
A plane-wave DFT calculation with PBE was carried out for a geometry-optimized SrPmPrIn structure.

Lattice parameters (Å, degrees): 5.727 5.727 5.727 60.00 60.00 60.00
Atoms (fractional coordinates):
1 Sr 0.000 0.000 0.000
2 Pm 0.250 0.250 0.250
3 Pr 0.750 0.750 0.750
4 In 0.500 0.500 0.500

Values from the calculation:
Offset from the most stable computed form, meV per atom: 0
Space group: F-43m (216)
Raw total energy, eV per atom: -3.574
Energy of formation from the pure elements, meV per atom: -86
Size of the total moment, μB per atom: 0.000


# 6
A plane-wave DFT calculation with PBE was carried out for a geometry-optimized BaTi3Nb structure.

Lattice parameters (Å, degrees): 4.895 4.895 4.895 90.00 90.00 90.00
Atoms (fractional coordinates):
1 Ba 0.000 0.000 0.000
2 Ti 0.000 0.000 0.500
3 Ti 0.000 0.500 0.000
4 Ti 0.500 0.000 0.000
5 Nb 0.500 0.500 0.500

Values from the calculation:
Offset from the most stable computed form, meV per atom: 1191
Space group: Pm-3m (221)
Raw total energy, eV per atom: -5.162
Energy of formation from the pure elements, meV per atom: 1974
Size of the total moment, μB per atom: 0.000


# 7
A plane-wave DFT calculation with PBE was carried out for a geometry-optimized TmThP2Ir5 structure.

Lattice parameters (Å, degrees): 4.073 4.073 10.756 90.00 90.00 90.00
Atoms (fractional coordinates):
1 Tm 0.000 0.000 0.000
2 Th 0.000 0.000 0.500
3 P 0.500 0.500 0.287
4 P 0.500 0.500 0.713
5 Ir 0.000 0.500 0.195
6 Ir 0.000 0.500 0.805
7 Ir 0.500 0.000 0.195
8 Ir 0.500 0.000 0.805
9 Ir 0.500 0.500 0.500

Values from the calculation:
Space group: P4/mmm (123)
Raw total energy, eV per atom: -8.130
Energy of formation from the pure elements, meV per atom: -684
Size of the total moment, μB per atom: 0.000


# 8
A plane-wave DFT calculation with PBE was carried out for a geometry-optimized CoIrRu structure.

Lattice parameters (Å, degrees): 4.076 4.076 4.076 60.00 60.00 60.00
Atoms (fractional coordinates):
1 Co 0.000 0.000 0.000
2 Ir 0.750 0.750 0.750
3 Ru 0.500 0.500 0.500

Values from the calculation:
Offset from the most stable computed form, meV per atom: 568
Space group: F-43m (216)
Raw total energy, eV per atom: -7.820
Energy of formation from the pure elements, meV per atom: 594
Size of the total moment, μB per atom: 0.613